The following is a DFT calculation (PBE) of a relaxed structure of YTcSeBr2.

Cell lengths 4.9965, 5.0181, 4.9965 Å; angles 90.00, 90.00, 90.00 degrees
With the nearest neighbours (Å) after each atom.
Atoms (fractional coordinates):
Y: 0.5000 0.5000 0.5000  4 Se 3.53, 8 Br 3.54
Se: 0.0000 0.5000 0.0000  2 Tc 2.51
Tc: 0.0000 0.0000 0.0000  4 Br 2.50, 2 Se 2.51
Br: 0.0000 0.0000 0.5000  2 Tc 2.50
Br: 0.5000 0.0000 0.0000  2 Tc 2.50

Output
DOS at the Fermi energy ... 1.0763 states/eV per atom
Calculated volume ... 25.06 Å³/atom
Distance to the lowest polymorph of the same formula ... 2 meV/atom
Space-group type ... No. 123
Raw formation energy ... -101 meV per atom

---

The following is a DFT calculation (PBE) of a relaxed structure of ZnTcSeBr2.

Cell lengths 4.9896, 4.9896, 5.2603 Å; angles 90.00, 90.00, 90.00 degrees
With the nearest neighbours (Å) after each atom.
Atoms (fractional coordinates):
Zn: 0.0000 0.0000 0.0000  4 Br 2.49, 2 Se 2.63
Se: 0.0000 0.0000 0.5000  2 Zn 2.63
Tc: 0.5000 0.5000 0.5000  4 Se 3.53, 8 Br 3.63
Br: 0.0000 0.5000 0.0000  2 Zn 2.49
Br: 0.5000 0.0000 0.0000  2 Zn 2.49

Output
DOS at the Fermi energy ... 0.2272 states/eV per atom
Calculated volume ... 26.19 Å³/atom
Distance to the lowest polymorph of the same formula ... 365 meV/atom
Space-group type ... No. 123
Raw formation energy ... 572 meV per atom

---

The following is a DFT calculation (PBE) of a relaxed structure of ZnTcSeBr2.

Cell lengths 5.2462, 5.2462, 4.7478 Å; angles 90.00, 90.00, 90.00 degrees
With the nearest neighbours (Å) after each atom.
Atoms (fractional coordinates):
Zn: 0.5000 0.5000 0.5000  8 Br 3.54, 4 Se 3.71
Se: 0.0000 0.0000 0.5000  2 Tc 2.37
Tc: 0.0000 0.0000 0.0000  2 Se 2.37, 4 Br 2.62
Br: 0.0000 0.5000 0.0000  2 Tc 2.62
Br: 0.5000 0.0000 0.0000  2 Tc 2.62

Output
DOS at the Fermi energy ... 0.6454 states/eV per atom
Calculated volume ... 26.13 Å³/atom
Distance to the lowest polymorph of the same formula ... 0 meV/atom
Space-group type ... No. 123
Raw formation energy ... 207 meV per atom

---

The following is a DFT calculation (PBE) of a relaxed structure of ZrTcSe2Br.

Cell lengths 5.2304, 5.2304, 5.2523 Å; angles 90.00, 90.00, 90.00 degrees
With the nearest neighbours (Å) after each atom.
Atoms (fractional coordinates):
Br: 0.0000 0.0000 0.5000  2 Zr 2.63
Se: 0.0000 0.5000 0.0000  2 Zr 2.62
Se: 0.5000 0.0000 0.0000  2 Zr 2.62
Tc: 0.5000 0.5000 0.5000  4 Br 3.70, 8 Se 3.71
Zr: 0.0000 0.0000 0.0000  4 Se 2.62, 2 Br 2.63

Output
DOS at the Fermi energy ... 0.7754 states/eV per atom
Calculated volume ... 28.74 Å³/atom
Distance to the lowest polymorph of the same formula ... 161 meV/atom
Space-group type ... No. 123
Raw formation energy ... 228 meV per atom

---

The following is a DFT calculation (PBE) of a relaxed structure of ZrTcSe2Br.

Cell lengths 4.8706, 4.8706, 4.9370 Å; angles 90.00, 90.00, 90.00 degrees
With the nearest neighbours (Å) after each atom.
Atoms (fractional coordinates):
Br: 0.0000 0.0000 0.5000  2 Tc 2.47
Se: 0.0000 0.5000 0.0000  2 Tc 2.44
Se: 0.5000 0.0000 0.0000  2 Tc 2.44
Tc: 0.0000 0.0000 0.0000  4 Se 2.44, 2 Br 2.47
Zr: 0.5000 0.5000 0.5000  4 Br 3.44, 8 Se 3.47

Output
DOS at the Fermi energy ... 1.3544 states/eV per atom
Calculated volume ... 23.42 Å³/atom
Distance to the lowest polymorph of the same formula ... 304 meV/atom
Space-group type ... No. 123
Raw formation energy ... 371 meV per atom

---

The following is a DFT calculation (PBE) of a relaxed structure of ZrTcSe2Br.

Cell lengths 4.7631, 5.3306, 4.7631 Å; angles 90.00, 90.00, 90.00 degrees
With the nearest neighbours (Å) after each atom.
Atoms (fractional coordinates):
Br: 0.5000 0.5000 0.5000  4 Zr 3.37, 8 Se 3.57
Se: 0.0000 0.0000 0.5000  2 Tc 2.38
Se: 0.5000 0.0000 0.0000  2 Tc 2.38
Tc: 0.0000 0.0000 0.0000  4 Se 2.38, 2 Zr 2.67
Zr: 0.0000 0.5000 0.0000  2 Tc 2.67

Output
DOS at the Fermi energy ... 0.8560 states/eV per atom
Calculated volume ... 24.19 Å³/atom
Distance to the lowest polymorph of the same formula ... 0 meV/atom
Space-group type ... No. 123
Raw formation energy ... 67 meV per atom

---

The following is a DFT calculation (PBE) of a relaxed structure of TeSe2Br.

Cell lengths 5.2049, 5.2049, 5.2149 Å; angles 72.47, 72.47, 113.65 degrees
With the nearest neighbours (Å) after each atom.
Atoms (fractional coordinates):
Br: 0.0000 0.5000 0.5000  2 Te 2.85, 4 Se 3.08
Se: 0.0000 0.0000 0.0000  2 Se 2.85, 2 Te 3.08, 2 Br 3.08
Se: 0.5000 0.5000 0.0000  2 Se 2.85, 2 Br 3.08, 2 Te 3.08
Te: 0.5000 0.0000 0.5000  2 Br 2.85, 4 Se 3.08

Output
DOS at the Fermi energy ... 0.9484 states/eV per atom
Calculated volume ... 27.01 Å³/atom
Distance to the lowest polymorph of the same formula ... 361 meV/atom
Space-group type ... No. 12
Raw formation energy ... 301 meV per atom

---

The following is a DFT calculation (PBE) of a relaxed structure of TeSe4Br.

Cell lengths 5.8929, 5.8929, 5.8929 Å; angles 60.00, 60.00, 60.00 degrees
With the nearest neighbours (Å) after each atom.
Atoms (fractional coordinates):
Te: 0.7500 0.7500 0.7500  12 Se 3.43, 4 Br 3.61
Se: 0.3877 0.8369 0.3877  3 Se 2.65
Se: 0.8369 0.3877 0.3877  3 Se 2.65
Se: 0.3877 0.3877 0.8369  3 Se 2.65
Se: 0.3877 0.3877 0.3877  3 Se 2.65
Br: 0.0000 0.0000 0.0000  12 Se 3.49, 4 Te 3.61

Output
DOS at the Fermi energy ... 0.7127 states/eV per atom
Calculated volume ... 24.12 Å³/atom
Space-group type ... No. 216
Raw formation energy ... 565 meV per atom